Mn2OsO2 after structural relaxation. Source: Alexandria, functional PBE+U.

Output
**M_tot**: 19.81 Bohr magnetons per cell
**Energy above the most stable polymorph in this dataset**: 0.918 eV/f.u.

Structure (POSCAR):
```
Mn2OsO2
1.0
-1.990 -0.691 -5.729
0.214 -6.064 0.657
-3.032 0.007 1.052
Os Mn O
2 4 4
Direct
0.500 0.500 0.000
0.000 0.000 0.000
0.666 0.834 0.500
0.166 0.666 0.500
0.834 0.334 0.500
0.334 0.166 0.500
0.657 0.157 0.000
0.343 0.843 0.000
0.157 0.343 0.000
0.843 0.657 0.000
```